Entry 1:
# Cs7Rb2Au PBE-GGA optimized geometry
data_Cs7Rb2Au
_chemical_formula_sum 'Cs28 Rb8 Au4'
_cell_length_a 22.7771
_cell_length_b 12.4205
_cell_length_c 16.9941
_cell_angle_alpha 90.00
_cell_angle_beta 130.30
_cell_angle_gamma 90.00
_space_group_name_H-M_alt 'C 1 2/c 1'
_space_group_IT_number 15
_space_group_name_Hall '-C 2yc'
loop_
_atom_site_label
_atom_site_type_symbol
_atom_site_fract_x
_atom_site_fract_y
_atom_site_fract_z
Cs1 Cs 0.0000 0.1200 0.2500
Cs2 Cs 0.0864 0.3558 0.1328
Cs3 Cs 0.1202 0.2910 0.7943
Cs4 Cs 0.1859 0.4030 0.5128
Rb1 Rb 0.1414 0.0079 0.5968
Au1 Au 0.0000 0.4426 0.2500
# Density of states at the Fermi level in states/eV/cell: 38.0
# E_form in meV/atom: -57
# Crystal system: monoclinic
# Uncorrected energy in eV per atom: -1.176

---

Entry 2:
# Cs2Rb2Au3 PBE-GGA optimized geometry
data_Cs2Rb2Au3
_chemical_formula_sum 'Cs4 Rb4 Au6'
_cell_length_a 18.9608
_cell_length_b 5.0922
_cell_length_c 8.6953
_cell_angle_alpha 90.00
_cell_angle_beta 116.08
_cell_angle_gamma 90.00
_space_group_name_H-M_alt 'C 1 2/m 1'
_space_group_IT_number 12
_space_group_name_Hall '-C 2y'
loop_
_atom_site_label
_atom_site_type_symbol
_atom_site_fract_x
_atom_site_fract_y
_atom_site_fract_z
Cs1 Cs 0.1349 0.0000 0.4886
Rb1 Rb 0.1256 0.5000 0.9463
Au1 Au 0.0000 0.5000 0.5000
Au2 Au 0.2364 0.0000 0.2191
# Density of states at the Fermi level in states/eV/cell: 7.2
# E_form in meV/atom: -253
# E above lowest polymorph in eV per atom: 0.027
# Crystal system: monoclinic
# Uncorrected energy in eV per atom: -2.178